Entry from Alexandria via LeMat-Bulk: an optimized crystal structure of Sn2RuW (PBE).

Energy above the lowest structure with this stoichiometry = 0.486 eV per atom
Calculated volume = 166 Å³ per cell
Density of states at the Fermi level = 1.02 states/eV per atom
Size of the total moment = 1.17 μB/f.u.
Mass density = 10.4 g cm⁻³

a = 6.1139 Å, b = 6.1139 Å, c = 6.1139 Å
α = 102.45°, β = 102.45°, γ = 124.67°
Closest atoms and distances in Å follow each position.
Atoms (fractional coordinates):
Sn 0.1057 0.1250 0.4807  2 Ru 2.70, 2 Sn 2.85, 2 W 2.90
Sn 0.3750 0.8943 0.0193  2 Ru 2.70, 2 Sn 2.85, 2 W 2.90
Sn 0.6443 0.6250 0.5193  2 Ru 2.70, 2 Sn 2.85, 2 W 2.90
Sn 0.8750 0.3557 0.9807  2 Ru 2.70, 2 Sn 2.85, 2 W 2.90
Ru 0.0000 0.0000 0.0000  4 Sn 2.70, 2 W 2.84
Ru 0.7500 0.2500 0.5000  4 Sn 2.70, 2 W 2.84
W 0.2500 0.7500 0.5000  2 Ru 2.84, 4 Sn 2.90
W 0.5000 0.5000 0.0000  2 Ru 2.84, 4 Sn 2.90

=====

Entry from Alexandria via LeMat-Bulk: an optimized crystal structure of SnRuW (PBE).

Calculated volume = 103 Å³ per cell
Density of states at the Fermi level = 0.88 states/eV per atom
E = -25.63 eV per formula unit
Size of the total moment = 0.00 μB/f.u.
Mass density = 13.0 g cm⁻³

a = 5.0061 Å, b = 5.0061 Å, c = 7.6539 Å
α = 111.79°, β = 111.79°, γ = 35.72°
Closest atoms and distances in Å follow each position.
Atoms (fractional coordinates):
Sn 0.0000 0.0000 0.0000  5 W 2.80-2.98, 2 Ru 2.97, 4 Sn 3.07-3.11
Sn 0.6459 0.6459 0.7590  5 Ru 2.73-2.81
Ru 0.3329 0.3329 0.6480  2 W 2.67, 5 Sn 2.73-2.97
Ru 0.9895 0.9895 0.4324  5 W 2.65-2.71, 2 Sn 2.81
W 0.3193 0.3193 0.1453  2 Ru 2.65, 3 Sn 2.80-2.84, 2 W 2.81
W 0.6856 0.6856 0.3470  5 Ru 2.67-2.71, 2 W 2.81, 2 Sn 2.98

=====

Entry from Alexandria via LeMat-Bulk: an optimized crystal structure of Sn2RuW (PBE).

Energy above the lowest structure with this stoichiometry = 0.000 eV per atom
Calculated volume = 74 Å³ per cell
Density of states at the Fermi level = 1.59 states/eV per atom
Size of the total moment = 0.96 μB/f.u.
Mass density = 11.8 g cm⁻³

a = 4.7064 Å, b = 4.7064 Å, c = 4.7064 Å
α = 60.00°, β = 60.00°, γ = 60.00°
Closest atoms and distances in Å follow each position.
Atoms (fractional coordinates):
Sn 0.2500 0.2500 0.2500  4 W 2.88, 4 Ru 2.88
Sn 0.7500 0.7500 0.7500  4 W 2.88, 4 Ru 2.88
Ru 0.0000 0.0000 0.0000  8 Sn 2.88
W 0.5000 0.5000 0.5000  8 Sn 2.88

=====

Entry from Alexandria via LeMat-Bulk: an optimized crystal structure of Sn3RuW (PBE).

Energy above the lowest structure with this stoichiometry = 0.000 eV per atom
Calculated volume = 133 Å³ per cell
Density of states at the Fermi level = 0.40 states/eV per atom
Size of the total moment = 3.90 μB/f.u.
Mass density = 8.0 g cm⁻³

a = 5.1023 Å, b = 5.1023 Å, c = 5.1023 Å
α = 90.00°, β = 90.00°, γ = 90.00°
Closest atoms and distances in Å follow each position.
Atoms (fractional coordinates):
Sn 0.0000 0.0000 0.5000  2 Ru 2.55
Sn 0.0000 0.5000 0.0000  2 Ru 2.55
Sn 0.5000 0.0000 0.0000  2 Ru 2.55
Ru 0.0000 0.0000 0.0000  6 Sn 2.55
W 0.5000 0.5000 0.5000  12 Sn 3.61

=====

Entry from Alexandria via LeMat-Bulk: an optimized crystal structure of SnRuW (PBE).

Calculated volume = 54 Å³ per cell
Density of states at the Fermi level = 0.66 states/eV per atom
E = -25.63 eV per formula unit
Size of the total moment = 0.00 μB/f.u.
Mass density = 12.4 g cm⁻³

a = 3.0355 Å, b = 6.1848 Å, c = 6.1848 Å
α = 27.79°, β = 90.00°, γ = 90.00°
Closest atoms and distances in Å follow each position.
Atoms (fractional coordinates):
Sn 0.0000 0.0000 0.0000  2 Ru 2.80, 4 Sn 2.97-3.04, 4 W 3.01
Ru 0.0000 0.3028 0.3028  4 W 2.60, 2 Sn 2.80
W 0.5000 0.6779 0.6779  4 Ru 2.60

=====

Entry from Alexandria via LeMat-Bulk: an optimized crystal structure of SnRu2W (PBE).

Calculated volume = 64 Å³ per cell
Density of states at the Fermi level = 1.05 states/eV per atom
E = -35.37 eV per formula unit
Size of the total moment = 0.00 μB/f.u.
Mass density = 13.1 g cm⁻³

a = 2.9753 Å, b = 2.9753 Å, c = 7.2156 Å
α = 90.00°, β = 90.00°, γ = 90.00°
Closest atoms and distances in Å follow each position.
Atoms (fractional coordinates):
Sn 0.0000 0.0000 0.0000  8 Ru 2.83, 4 Sn 2.98
Ru 0.5000 0.5000 0.2624  4 W 2.71, 4 Sn 2.83, 4 Ru 2.98
Ru 0.5000 0.5000 0.7376  4 W 2.71, 4 Sn 2.83, 4 Ru 2.98
W 0.0000 0.0000 0.5000  8 Ru 2.71, 4 W 2.98